[1]
Compound: Ti3Ru
Source: Alexandria via LeMat-Bulk
Functional: GGA-PBE
Structure: optimized geometry

Structure (POSCAR):
```
Ti3Ru
1.0
2.9792 0.0000 0.0000
0.0000 2.8840 0.0000
0.0000 0.0000 8.1617
Ru Ti
1 3
Direct
0.0000 0.0000 0.9767
0.0000 0.5000 0.4804
0.5000 0.5000 0.1556
0.5000 0.0000 0.7207
```

volume = 70 Å³/f.u.
ρ = 5.79 g/cm3
SG = Pmm2
formation enthalpy at 0 K = 0.050 eV/atom



[2]
Compound: MgInBrCl2
Source: Alexandria via LeMat-Bulk
Functional: GGA-PBE
Structure: optimized geometry

Structure (POSCAR):
```
MgInBrCl2
1.0
-0.0156 5.1003 -1.1533
-7.9080 -0.1206 -0.4264
2.5762 1.9835 8.7366
Mg In Br Cl
2 2 2 4
Direct
0.2500 0.9219 0.8413
0.7500 0.0781 0.1587
0.7500 0.2947 0.6173
0.2500 0.7053 0.3827
0.7500 0.4070 0.3042
0.2500 0.5930 0.6958
0.7500 0.9513 0.8848
0.2500 0.0487 0.1152
0.2500 0.0749 0.6646
0.7500 0.9251 0.3354
```

volume = 182 Å³/f.u.
ρ = 2.64 g/cm3
SG = P2_1/m
formation energy (no corrections) = -1309.5 meV per atom



[3]
Compound: AcGa8Ag2
Source: Alexandria via LeMat-Bulk
Functional: GGA-PBE
Structure: optimized geometry

Structure (POSCAR):
```
AcGa8Ag2
1.0
-1.3762 -5.1519 0.4458
2.3069 -0.1988 4.8242
-8.2608 2.5576 4.0555
Ac Ga Ag
1 8 2
Direct
0.5000 0.5000 0.5000
0.7532 0.7532 0.2188
0.7532 0.2468 0.7812
0.7532 0.7532 0.7812
0.7532 0.2468 0.2188
0.2468 0.7532 0.2188
0.2468 0.7532 0.7812
0.2468 0.2468 0.2188
0.2468 0.2468 0.7812
0.5000 0.0000 0.0000
0.0000 0.5000 0.0000
```

volume = 273 Å³/f.u.
ρ = 6.07 g/cm3
SG = P4/mmm
formation enthalpy at 0 K = 0.050 eV/atom



> Among the records above, which one has the lowest volume?

Ti3Ru